Entry 1:
CaMo2Os (PBE-GGA, optimized geometry); SG = P4/mmm; DFT total energy = -8.19 eV/atom; relative energy among the computed polymorphs = 77.0 meV/atom
1.0
-1.543 0.094 -2.403
1.698 -1.979 -1.168
-5.363 -6.486 3.190
Os Mo Ca
1 2 1
Direct
0.500 0.500 0.250
0.000 0.000 0.048
0.000 0.000 0.452
0.500 0.500 0.750


Entry 2:
CaMoOs2 (PBE-GGA, optimized geometry); SG = C2/m; DFT total energy = -8.29 eV/atom; relative energy among the computed polymorphs = 215.3 meV/atom
1.0
-1.355 -2.918 3.658
1.510 -2.734 3.738
-0.359 3.707 4.295
Os Mo Ca
2 1 1
Direct
0.979 0.979 0.071
0.521 0.521 0.429
0.250 0.250 0.250
0.750 0.750 0.750


| no. | DOS(E_F) (states/eV per cell) | magnetic moment (Bohr magnetons per cell) |
| --- | --- | --- |
| 1 | 5.58 | 0.0 |
| 2 | 2.85 | 0.0 |